The following is a DFT calculation (PBE with a Hubbard U) of a relaxed structure of LiZr2FeF.

abc: 5.040 3.818 5.040
angles: 90.00 90.00 90.00
Each line ends with the local moment (μB).
Fractional coordinates of all 5 atoms:
Li (0.500, 0.500, 0.500)  -0.03
Fe (0.000, 0.000, 0.000)  1.25
Zr (0.000, 0.000, 0.500)  -0.59
Zr (0.500, 0.000, 0.000)  -0.70
F (0.000, 0.500, 0.000)  -0.07

V in Å³ per cell: 97.0
SG: P4/mmm, No. 123
Crystal system: tetragonal
E in eV per formula unit: -23.500
Spin magnetization in μB per formula unit: 1.1